# 1
A plane-wave DFT calculation with PBE-GGA was carried out for a relaxed KFe2AuI8 crystal.

Geometry as POSCAR:
```
KFe2AuI8
1.0
-1.6028 4.4731 5.7148
0.9813 -4.0467 6.1561
10.1820 3.2355 2.8426
I Au K Fe
8 1 1 2
Direct
0.2824 0.2824 0.5658
0.2247 0.2247 0.9750
0.2624 0.7257 0.7551
0.7376 0.2743 0.2449
0.7257 0.2624 0.7551
0.7176 0.7176 0.4342
0.2743 0.7376 0.2449
0.7753 0.7753 0.0250
0.0000 0.0000 0.0000
0.0000 0.0000 0.5000
0.3686 0.3686 0.7550
0.6314 0.6314 0.2450
```

Computed properties:
Formation energy from raw total energies (eV per atom): -0.34
Total energy (eV/atom): -3.149

=====

# 2
A plane-wave DFT calculation with PBE-GGA was carried out for a relaxed La8FeAu3I4 crystal.

Geometry as POSCAR:
```
La8FeAu3I4
1.0
8.7035 0.0000 0.0000
0.0000 9.6147 0.5547
-4.3517 -4.4039 6.2259
La Fe Au I
8 1 3 4
Direct
0.2220 0.6939 0.4440
0.7780 0.3061 0.5560
0.7332 0.6997 0.4665
0.7852 0.3109 0.0239
0.2148 0.6891 0.9761
0.2668 0.3003 0.5335
0.7613 0.6891 0.9761
0.2387 0.3109 0.0239
0.0000 0.5000 0.0000
0.0000 0.5000 0.5000
0.5000 0.5000 0.0000
0.5000 0.5000 0.5000
0.5000 0.0000 0.0000
0.0000 0.0000 0.5000
0.0000 0.0000 0.0000
0.5000 0.0000 0.5000
```

Computed properties:
Formation energy from raw total energies (eV per atom): -0.83
Total energy (eV/atom): -4.822
N(E_F) (states/eV/f.u.): 15.84

=====

# 3
A plane-wave DFT calculation with PBE-GGA was carried out for a relaxed Mn2FeAuI crystal.

Geometry as POSCAR:
```
Mn2FeAuI
1.0
5.0663 0.0000 0.0000
0.0000 4.9157 0.0000
0.0000 0.0000 5.0663
I Mn Au Fe
1 2 1 1
Direct
0.5000 0.5000 0.5000
0.5000 0.0000 0.0000
0.0000 0.0000 0.5000
0.0000 0.0000 0.0000
0.0000 0.5000 0.0000
```

Computed properties:
Formation energy from raw total energies (eV per atom): 0.87
Total energy (eV/atom): -5.458
N(E_F) (states/eV/f.u.): 6.08

=====

# 4
A plane-wave DFT calculation with PBE-GGA was carried out for a relaxed FeAuIN2 crystal.

Geometry as POSCAR:
```
FeAuIN2
1.0
3.8870 0.0000 0.0000
0.0000 3.8870 0.0000
0.0000 0.0000 7.7148
Au I Fe N
1 1 1 2
Direct
0.0000 0.0000 0.0000
0.0000 0.0000 0.5000
0.5000 0.5000 0.5000
0.5000 0.0000 0.0000
0.0000 0.5000 0.0000
```

Computed properties:
Formation energy from raw total energies (eV per atom): 1.91
Energy above the lowest structure with this stoichiometry (meV per atom): 827
Total energy (eV/atom): -4.075
N(E_F) (states/eV/f.u.): 8.95

=====

# 5
A plane-wave DFT calculation with PBE-GGA was carried out for a relaxed FeAuIN2 crystal.

Geometry as POSCAR:
```
FeAuIN2
1.0
-0.4030 3.1730 -1.9158
-2.9201 -1.4587 -1.8017
-4.1921 2.3978 4.8530
I N Fe Au
1 2 1 1
Direct
0.0000 0.0000 0.5000
0.0000 0.5000 0.0000
0.5000 0.0000 0.0000
0.0000 0.0000 0.0000
0.5000 0.5000 0.5000
```

Computed properties:
Formation energy from raw total energies (eV per atom): 1.09
Energy above the lowest structure with this stoichiometry (meV per atom): 0
Total energy (eV/atom): -4.901
N(E_F) (states/eV/f.u.): 3.34

=====

# 6
A plane-wave DFT calculation with PBE-GGA was carried out for a relaxed NaFeAuI5 crystal.

Geometry as POSCAR:
```
NaFeAuI5
1.0
-1.1050 -10.8352 -2.6756
4.0872 1.9114 10.2675
-7.0338 2.6307 0.2310
I Fe Na Au
10 2 2 2
Direct
0.6057 0.1870 0.4140
0.8130 0.3943 0.0860
0.7261 0.6129 0.5232
0.2739 0.3871 0.4768
0.3943 0.8130 0.5860
0.1870 0.6057 0.9140
0.9055 0.0945 0.7500
0.3871 0.2739 0.9768
0.6129 0.7261 0.0232
0.0945 0.9055 0.2500
0.3642 0.6358 0.7500
0.6358 0.3642 0.2500
0.5814 0.4186 0.7500
0.4186 0.5814 0.2500
0.0000 0.0000 0.5000
0.0000 0.0000 0.0000
```

Computed properties:
Formation energy from raw total energies (eV per atom): -0.41
Total energy (eV/atom): -3.012